[1]
Below is a geometry-optimized RbGaSn4 structure, with properties calculated at the PBE level.

Computed properties:
The calculation puts the magnetic moment at 0.00 μB/cell. The value obtained for the energy above the lowest structure with this stoichiometry is 0.000 eV/f.u. As for the formation energy from the elements: -0.041 eV per atom. The volume is 31.63 A^3/atom.

Cell lengths 7.114, 7.114, 13.166 Å; angles 90.00, 90.00, 34.73 degrees
Fractional positions:
Rb: 0.166 0.834 0.500
Rb: 0.166 0.834 0.000
Ga: 0.370 0.036 0.250
Ga: 0.964 0.630 0.750
Sn: 0.620 0.283 0.750
Sn: 0.882 0.552 0.083
Sn: 0.882 0.552 0.417
Sn: 0.448 0.118 0.583
Sn: 0.448 0.118 0.917
Sn: 0.302 0.964 0.750
Sn: 0.717 0.380 0.250
Sn: 0.036 0.698 0.250

=====

[2]
Below is a geometry-optimized Rb2GaSn7 structure, with properties calculated at the PBE level.

Computed properties:
The calculation puts the magnetic moment at 0.00 μB/cell. As for the formation energy from the elements: -0.123 eV per atom. The volume is 33.74 A^3/atom.

Cell lengths 5.296, 5.296, 12.030 Å; angles 90.00, 90.00, 90.00 degrees
Fractional positions:
Rb: 0.500 0.000 0.756
Rb: 0.000 0.500 0.244
Ga: 0.500 0.500 0.000
Sn: 0.000 0.500 0.885
Sn: 0.500 0.000 0.372
Sn: 0.500 0.000 0.115
Sn: 0.000 0.500 0.628
Sn: 0.000 0.000 0.500
Sn: 0.000 0.000 0.000
Sn: 0.500 0.500 0.500

=====

[3]
Below is a geometry-optimized Rb3GaSn4 structure, with properties calculated at the PBE level.

Computed properties:
The calculation puts the magnetic moment at 0.00 μB/cell. As for the formation energy from the elements: -0.203 eV per atom. The volume is 39.55 A^3/atom.

Cell lengths 6.299, 7.269, 13.819 Å; angles 90.00, 90.00, 90.00 degrees
Fractional positions:
Ga: 0.697 0.500 0.000
Ga: 0.303 0.000 0.500
Rb: 0.550 0.000 0.000
Rb: 0.450 0.500 0.500
Rb: 0.827 0.500 0.743
Rb: 0.827 0.500 0.257
Rb: 0.173 0.000 0.757
Rb: 0.173 0.000 0.243
Sn: 0.330 0.500 0.882
Sn: 0.330 0.500 0.118
Sn: 0.040 0.255 0.000
Sn: 0.040 0.745 0.000
Sn: 0.960 0.755 0.500
Sn: 0.960 0.245 0.500
Sn: 0.670 0.000 0.382
Sn: 0.670 0.000 0.618

=====

[4]
Below is a geometry-optimized Rb3GaSn2 structure, with properties calculated at the PBE level.

Computed properties:
The calculation puts the magnetic moment at 0.00 μB/cell. As for the formation energy from the elements: -0.040 eV per atom. The volume is 51.02 A^3/atom.

Cell lengths 4.559, 10.668, 13.795 Å; angles 69.83, 80.49, 77.66 degrees
Fractional positions:
Rb: 0.046 0.159 0.750
Rb: 0.954 0.841 0.250
Rb: 0.663 0.689 0.984
Rb: 0.337 0.311 0.016
Rb: 0.787 0.813 0.613
Rb: 0.213 0.187 0.387
Ga: 0.415 0.487 0.683
Ga: 0.585 0.513 0.317
Sn: 0.862 0.480 0.797
Sn: 0.138 0.520 0.203
Sn: 0.559 0.350 0.531
Sn: 0.441 0.650 0.469